1.
A plane-wave DFT calculation with PBE was carried out for NdTl2ReO6 after structural relaxation.

* total magnetization: 0.000 μB/atom
* E_form (uncorrected): -1654 meV per atom
* mass density: 6.22 g/cm3
* space group: P-3m1 (164)
* Fermi-level density of states: 0.00 states/eV/cell

```
NdTl2ReO6
1.0
6.5258 0.0000 0.0000
-3.2629 5.6516 0.0000
0.0000 0.0000 6.0419
Nd Tl Re O
1 2 1 6
direct
0.0000 0.0000 0.0000 Nd
0.3333 0.6667 0.5287 Tl
0.6667 0.3333 0.4713 Tl
0.0000 0.0000 0.5000 Re
0.1345 0.2690 0.3073 O
0.1345 0.8655 0.3073 O
0.2690 0.1345 0.6927 O
0.7310 0.8655 0.3073 O
0.8655 0.1345 0.6927 O
0.8655 0.7310 0.6927 O
```

2.
A plane-wave DFT calculation with PBE was carried out for BaYSc2Pb after structural relaxation.

* total magnetization: 0.000 μB/atom
* mass density: 5.29 g/cm3
* space group: P4/mmm (123)
* energy of formation from the pure elements: 100.9 kJ per mole of atoms
* Fermi-level density of states: 5.62 states/eV/cell

```
BaYSc2Pb
1.0
5.3512 0.0000 0.0000
0.0000 5.3512 0.0000
0.0000 0.0000 5.7395
Ba Y Sc Pb
1 1 2 1
direct
0.0000 0.0000 0.0000 Ba
0.0000 0.0000 0.5000 Y
0.0000 0.5000 0.0000 Sc
0.5000 0.0000 0.0000 Sc
0.5000 0.5000 0.5000 Pb
```

3.
A plane-wave DFT calculation with PBE was carried out for Tb2SiAu after structural relaxation.

* total magnetization: 0.000 μB/atom
* E_form (uncorrected): -776 meV per atom
* mass density: 9.49 g/cm3
* space group: P2_1/m (11)
* Fermi-level density of states: 7.72 states/eV/cell

```
Tb2SiAu
1.0
5.8810 0.0000 0.0000
0.0000 4.2720 0.0000
-2.8749 0.0000 7.5626
Tb Si Au
4 2 2
direct
0.2150 0.2500 0.4270 Tb
0.2193 0.2500 0.9305 Tb
0.7807 0.7500 0.0695 Tb
0.7850 0.7500 0.5730 Tb
0.3348 0.7500 0.7094 Si
0.6652 0.2500 0.2905 Si
0.3419 0.7500 0.2107 Au
0.6581 0.2500 0.7893 Au
```

4.
A plane-wave DFT calculation with PBE was carried out for ZrIrPb2 after structural relaxation.

* total magnetization: 0.000 μB/atom
* energy above the most stable polymorph in this dataset: 1.11 eV/f.u.
* mass density: 13.44 g/cm3
* space group: P4/mmm (123)
* energy of formation from the pure elements: 21.0 kJ per mole of atoms
* Fermi-level density of states: 3.07 states/eV/cell

```
ZrIrPb2
1.0
3.4106 0.0000 0.0000
0.0000 3.4106 0.0000
0.0000 0.0000 7.4129
Zr Ir Pb
1 1 2
direct
0.0000 0.0000 0.0000 Zr
0.0000 0.0000 0.5000 Ir
0.5000 0.5000 0.2763 Pb
0.5000 0.5000 0.7237 Pb
```

5.
A plane-wave DFT calculation with PBE was carried out for Rb2ZnCdBr6 after structural relaxation.

* total magnetization: 0.000 μB/atom
* E_form (uncorrected): -1160 meV per atom
* energy above the most stable polymorph in this dataset: 0.32 eV/f.u.
* mass density: 4.26 g/cm3
* space group: Fm-3m (225)
* Fermi-level density of states: 0.00 states/eV/cell

```
Rb2ZnCdBr6
1.0
0.0000 5.4451 5.4451
5.4451 0.0000 5.4451
5.4451 5.4451 0.0000
Rb Zn Cd Br
2 1 1 6
direct
0.2500 0.2500 0.2500 Rb
0.7500 0.7500 0.7500 Rb
0.0000 0.0000 0.0000 Zn
0.5000 0.5000 0.5000 Cd
0.2436 0.2436 0.7564 Br
0.2436 0.7564 0.2436 Br
0.2436 0.7564 0.7564 Br
0.7564 0.2436 0.2436 Br
0.7564 0.2436 0.7564 Br
0.7564 0.7564 0.2436 Br
```

6.
A plane-wave DFT calculation with PBE was carried out for Li3NdS3 after structural relaxation.

* total magnetization: 0.000 μB/atom
* E_form (uncorrected): -1583 meV per atom
* mass density: 2.99 g/cm3
* space group: R-3 (148)
* Fermi-level density of states: 0.00 states/eV/cell

```
Li3NdS3
1.0
3.5571 2.0537 6.6176
-3.5571 2.0537 6.6176
0.0000 -4.1074 6.6176
Li Nd S
6 2 6
direct
0.1320 0.4211 0.8147 Li
0.1853 0.8680 0.5789 Li
0.4211 0.8147 0.1320 Li
0.5789 0.1853 0.8680 Li
0.8147 0.1320 0.4211 Li
0.8680 0.5789 0.1853 Li
0.3335 0.3335 0.3335 Nd
0.6665 0.6665 0.6665 Nd
0.0822 0.7267 0.4485 S
0.2733 0.5515 0.9178 S
0.4485 0.0822 0.7267 S
0.5515 0.9178 0.2733 S
0.7267 0.4485 0.0822 S
0.9178 0.2733 0.5515 S
```

7.
A plane-wave DFT calculation with PBE was carried out for AcPr2Ho4 after structural relaxation.

* total magnetization: 0.000 μB/atom
* energy above the most stable polymorph in this dataset: 1.18 eV/f.u.
* mass density: 7.79 g/cm3
* space group: I4/mmm (139)
* energy of formation from the pure elements: 20.1 kJ per mole of atoms
* Fermi-level density of states: 12.84 states/eV/cell

```
AcPr2Ho4
1.0
-4.3324 4.3324 3.3174
4.3324 -4.3324 3.3174
4.3324 4.3324 -3.3174
Ac Pr Ho
1 2 4
direct
0.0000 0.0000 0.0000 Ac
0.2500 0.7500 0.5000 Pr
0.7500 0.2500 0.5000 Pr
0.3048 0.3048 0.6097 Ho
0.3048 0.6952 0.0000 Ho
0.6952 0.3048 0.0000 Ho
0.6952 0.6952 0.3903 Ho
```

8.
A plane-wave DFT calculation with PBE was carried out for MoSe after structural relaxation.

* total magnetization: 0.000 μB/atom
* E_form (uncorrected): 77 meV per atom
* energy above the most stable polymorph in this dataset: 0.71 eV/f.u.
* mass density: 7.19 g/cm3
* space group: Pmmn (59)
* Fermi-level density of states: 6.78 states/eV/cell

```
MoSe
1.0
3.2493 0.0000 0.0000
0.0000 13.5961 0.0000
0.0000 0.0000 5.4855
Mo Se
6 6
direct
0.2500 0.0737 0.0741 Mo
0.2500 0.4263 0.0741 Mo
0.2500 0.7500 0.5673 Mo
0.7500 0.2500 0.4327 Mo
0.7500 0.5737 0.9259 Mo
0.7500 0.9263 0.9259 Mo
0.2500 0.2500 0.1077 Se
0.2500 0.5986 0.2704 Se
0.2500 0.9014 0.2704 Se
0.7500 0.0986 0.7296 Se
0.7500 0.4014 0.7296 Se
0.7500 0.7500 0.8923 Se
```